Li4VFe3O8: optimized geometry, GGA+U.

Unit cell a=5.9800 b=5.9804 c=8.4663 alpha=134.94 beta=90.00 gamma=120.00
Each line ends with the local moment (μB).
Element x y z (fractional)
Li (0.4991, 0.0010, 0.5007)  0.01
Li (0.9993, 0.0010, 0.5006)  0.00
Li (0.9992, 0.5013, 0.5009)  0.01
Li (0.4990, 0.5007, 0.5004)  0.01
O (0.4857, 0.4727, 0.2291)  0.19
O (0.4853, 0.9730, 0.2297)  0.27
O (0.9846, 0.9716, 0.2291)  0.18
O (0.5126, 0.5293, 0.7721)  0.19
O (0.9844, 0.4728, 0.2291)  0.19
O (0.0138, 0.0304, 0.7721)  0.18
O (0.5130, 0.0290, 0.7716)  0.27
O (0.0139, 0.5292, 0.7721)  0.19
Fe (0.4992, 0.0010, 0.0006)  4.32
Fe (0.4992, 0.5011, 0.0007)  4.32
Fe (0.9991, 0.5009, 0.0005)  4.32
V (0.9992, 0.0010, 0.0007)  1.90

## Properties
**SG**: R-3m (166)
**Total magnetization**: 17.00 μB per formula unit
**Relative energy among the computed polymorphs**: 0 meV per atom
**Calculated density**: 4.1 g cm⁻³
**Raw total energy**: -100.9 eV per cell